Record 1
VASP calculation (PBE) on crystalline Zn2Cu2Mo at its relaxed geometry.

Output
Crystal system: tetragonal
Space-group type: P4/mbm (127)
Formation energy in meV/atom: 122
Energy above the most stable polymorph in this dataset in eV/atom: 0.000

Unit cell a=7.254 b=7.254 c=2.584 alpha=90.00 beta=90.00 gamma=90.00
Positions (direct):
Zn 0.175 0.325 0.000
Zn 0.325 0.825 0.000
Zn 0.675 0.175 0.000
Zn 0.825 0.675 0.000
Cu 0.122 0.622 0.500
Cu 0.378 0.122 0.500
Cu 0.622 0.878 0.500
Cu 0.878 0.378 0.500
Mo 0.000 0.000 0.500
Mo 0.500 0.500 0.500

---

Record 2
VASP calculation (PBE) on crystalline LiBi2Pb2 at its relaxed geometry.

Output
Crystal system: tetragonal
Space-group type: I4/mmm (139)
Formation energy in meV/atom: 123
Energy above the most stable polymorph in this dataset in eV/atom: 0.217

Unit cell a=8.216 b=8.216 c=8.216 alpha=144.82 beta=144.82 gamma=50.61
Positions (direct):
Li 0.000 0.000 0.000
Bi 0.250 0.750 0.500
Bi 0.750 0.250 0.500
Pb 0.393 0.393 0.000
Pb 0.607 0.607 0.000

---

Record 3
VASP calculation (PBE) on crystalline ScRh at its relaxed geometry.

Output
Crystal system: cubic
Space-group type: Pm-3n (223)
Formation energy in meV/atom: 253

Unit cell a=7.170 b=7.170 c=7.170 alpha=90.00 beta=90.00 gamma=90.00
Positions (direct):
Sc 0.000 0.250 0.500
Sc 0.000 0.750 0.500
Sc 0.250 0.500 0.000
Sc 0.500 0.000 0.250
Sc 0.500 0.000 0.750
Sc 0.750 0.500 0.000
Rh 0.000 0.500 0.250
Rh 0.000 0.500 0.750
Rh 0.250 0.000 0.500
Rh 0.500 0.250 0.000
Rh 0.500 0.750 0.000
Rh 0.750 0.000 0.500

---

Record 4
VASP calculation (PBE) on crystalline RbRuRh at its relaxed geometry.

Output
Crystal system: orthorhombic
Space-group type: Pnma (62)
Formation energy in meV/atom: 921
Energy above the most stable polymorph in this dataset in eV/atom: 0.433

Unit cell a=10.645 b=4.190 c=8.639 alpha=90.00 beta=90.00 gamma=90.00
Positions (direct):
Rb 0.197 0.250 0.004
Rb 0.303 0.750 0.504
Rb 0.697 0.250 0.496
Rb 0.803 0.750 0.996
Ru 0.048 0.250 0.641
Ru 0.452 0.750 0.141
Ru 0.548 0.250 0.859
Ru 0.952 0.750 0.359
Rh 0.055 0.250 0.364
Rh 0.445 0.750 0.864
Rh 0.555 0.250 0.136
Rh 0.945 0.750 0.636

---

Record 5
VASP calculation (PBE) on crystalline Zr4CoPd at its relaxed geometry.

Output
Crystal system: tetragonal
Space-group type: P4/mcc (124)
Formation energy in meV/atom: -372
Energy above the most stable polymorph in this dataset in eV/atom: 0.000

Unit cell a=6.539 b=6.539 c=5.454 alpha=90.00 beta=90.00 gamma=90.00
Positions (direct):
Zr 0.152 0.324 0.000
Zr 0.152 0.676 0.500
Zr 0.324 0.152 0.500
Zr 0.324 0.848 0.000
Zr 0.676 0.152 0.000
Zr 0.676 0.848 0.500
Zr 0.848 0.324 0.500
Zr 0.848 0.676 0.000
Co 0.000 0.000 0.250
Co 0.000 0.000 0.750
Pd 0.500 0.500 0.250
Pd 0.500 0.500 0.750

---

Record 6
VASP calculation (PBE) on crystalline LiNdTm at its relaxed geometry.

Output
Crystal system: monoclinic
Space-group type: C2/m (12)
Formation energy in meV/atom: 89
Energy above the most stable polymorph in this dataset in eV/atom: 0.004

Unit cell a=3.535 b=3.535 c=16.352 alpha=90.04 beta=90.04 gamma=59.97
Positions (direct):
Li 0.165 0.165 0.068
Li 0.835 0.835 0.932
Nd 0.165 0.165 0.404
Nd 0.835 0.835 0.596
Tm 0.498 0.498 0.228
Tm 0.502 0.502 0.772

---

Record 7
VASP calculation (PBE) on crystalline Cu2SiAu at its relaxed geometry.

Output
Formation energy from raw total energies in eV per atom: 0.13
Crystal system: tetragonal
Space-group type: P4mm (99)

Unit cell a=2.755 b=2.755 c=7.555 alpha=90.00 beta=90.00 gamma=90.00
Positions (direct):
Cu 0.000 0.000 0.000
Cu 0.500 0.500 0.224
Si 0.000 0.000 0.441
Au 0.500 0.500 0.739

---

Record 8
VASP calculation (PBE) on crystalline BeCd3Ga at its relaxed geometry.

Output
Crystal system: cubic
Space-group type: Pm-3m (221)
Formation energy in meV/atom: 766
Energy above the most stable polymorph in this dataset in eV/atom: 0.485

Unit cell a=5.164 b=5.164 c=5.164 alpha=90.00 beta=90.00 gamma=90.00
Positions (direct):
Be 0.000 0.000 0.000
Cd 0.000 0.500 0.500
Cd 0.500 0.000 0.500
Cd 0.500 0.500 0.000
Ga 0.500 0.500 0.500

---

Record 9
VASP calculation (PBE) on crystalline ZrNi4Pt2 at its relaxed geometry.

Output
Crystal system: tetragonal
Space-group type: I4/mmm (139)
Formation energy in meV/atom: 82

Unit cell a=5.730 b=5.730 c=5.730 alpha=131.54 beta=131.54 gamma=70.96
Positions (direct):
Zr 0.000 0.000 0.000
Ni 0.000 0.500 0.500
Ni 0.250 0.750 0.500
Ni 0.500 0.000 0.500
Ni 0.750 0.250 0.500
Pt 0.357 0.357 0.000
Pt 0.643 0.643 0.000

---

Record 10
VASP calculation (PBE) on crystalline KRbCd at its relaxed geometry.

Output
Crystal system: tetragonal
Space-group type: I4mm (107)
Formation energy in meV/atom: 5
Energy above the most stable polymorph in this dataset in eV/atom: 0.050

Unit cell a=8.514 b=8.514 c=8.514 alpha=149.21 beta=149.21 gamma=44.10
Positions (direct):
K 0.000 0.000 0.000
Rb 0.728 0.728 0.000
Cd 0.373 0.373 0.000

---

Record 11
VASP calculation (PBE) on crystalline Cd2ClO3 at its relaxed geometry.

Output
Formation energy from raw total energies in eV per atom: -0.27
Crystal system: orthorhombic
Space-group type: Pnma (62)

Unit cell a=7.166 b=7.252 c=9.930 alpha=90.00 beta=90.00 gamma=90.00
Positions (direct):
Cd 0.000 0.000 0.000
Cd 0.000 0.500 0.000
Cd 0.201 0.250 0.277
Cd 0.299 0.750 0.777
Cd 0.500 0.000 0.500
Cd 0.500 0.500 0.500
Cd 0.701 0.250 0.223
Cd 0.799 0.750 0.723
Cl 0.204 0.250 0.540
Cl 0.296 0.750 0.040
Cl 0.704 0.250 0.960
Cl 0.796 0.750 0.460
O 0.041 0.569 0.785
O 0.041 0.931 0.785
O 0.165 0.250 0.044
O 0.335 0.750 0.544
O 0.459 0.069 0.285
O 0.459 0.431 0.285
O 0.541 0.569 0.715
O 0.541 0.931 0.715
O 0.665 0.250 0.456
O 0.835 0.750 0.956
O 0.959 0.069 0.215
O 0.959 0.431 0.215

---

Record 12
VASP calculation (PBE) on crystalline LaFePb2 at its relaxed geometry.

Output
Crystal system: monoclinic
Space-group type: Cm (8)
Formation energy in meV/atom: 47
Energy above the most stable polymorph in this dataset in eV/atom: 0.070

Unit cell a=4.555 b=4.555 c=6.695 alpha=109.97 beta=109.97 gamma=59.87
Positions (direct):
La 0.000 0.000 0.000
Fe 0.181 0.181 0.541
Pb 0.563 0.563 0.689
Pb 0.784 0.784 0.350

---

Number 1: total DFT energy (no corrections) -4.19 eV per atom. Number 2: total DFT energy (no corrections) -3.30 eV per atom. Number 3: total DFT energy (no corrections) -6.59 eV per atom. Number 4: total DFT energy (no corrections) -4.94 eV per atom. Number 5: total DFT energy (no corrections) -8.12 eV per atom. Number 6: total DFT energy (no corrections) -3.63 eV per atom. Number 7: total DFT energy (no corrections) -4.10 eV per atom. Number 8: total DFT energy (no corrections) -1.13 eV per atom. Number 9: total DFT energy (no corrections) -6.17 eV per atom. Number 10: total DFT energy (no corrections) -0.99 eV per atom. Number 11: total DFT energy (no corrections) -3.36 eV per atom. Number 12: total DFT energy (no corrections) -5.15 eV per atom.